# 1
# Ba2LiCl PBE optimized geometry
data_Ba2LiCl
_chemical_formula_sum 'Ba8 Li4 Cl4'
_cell_length_a 8.857
_cell_length_b 8.857
_cell_length_c 9.624
_cell_angle_alpha 90.00
_cell_angle_beta 90.00
_cell_angle_gamma 90.00
_symmetry_space_group_name_H-M 'I -4 2 d'
_symmetry_Int_Tables_number 122
_symmetry_space_group_name_Hall 'I -4 2bw'
loop_
_atom_site_label
_atom_site_type_symbol
_atom_site_fract_x
_atom_site_fract_y
_atom_site_fract_z
Ba1 Ba 0.209 0.250 0.125
Li1 Li 0.000 0.000 0.500
Cl1 Cl 0.000 0.000 0.000
# - ΔE_f (raw) (meV per atom) = -716
# - energy above the most stable polymorph in this dataset (eV per atom) = 0.123

# 2
# Sm2MgAl2Pd5 PBE optimized geometry
data_Sm2MgAl2Pd5
_chemical_formula_sum 'Sm4 Mg2 Al4 Pd10'
_cell_length_a 10.392
_cell_length_b 10.392
_cell_length_c 3.474
_cell_angle_alpha 90.00
_cell_angle_beta 90.00
_cell_angle_gamma 90.00
_symmetry_space_group_name_H-M 'P 4/m b m'
_symmetry_Int_Tables_number 127
_symmetry_space_group_name_Hall '-P 4 2ab'
loop_
_atom_site_label
_atom_site_type_symbol
_atom_site_fract_x
_atom_site_fract_y
_atom_site_fract_z
Sm1 Sm 0.176 0.324 0.000
Mg1 Mg 0.000 0.000 0.000
Al1 Al 0.124 0.624 0.000
Pd1 Pd 0.000 0.500 0.500
Pd2 Pd 0.060 0.791 0.500
# - formation enthalpy at 0 K (eV per atom) = -0.752

# 3
# Te4Pb5 PBE optimized geometry
data_Te4Pb5
_chemical_formula_sum 'Te8 Pb10'
_cell_length_a 9.9528
_cell_length_b 9.9528
_cell_length_c 6.7383
_cell_angle_alpha 90.00
_cell_angle_beta 90.00
_cell_angle_gamma 120.00
_symmetry_space_group_name_H-M 'P 63/m c m'
_symmetry_Int_Tables_number 193
_symmetry_space_group_name_Hall '-P 6c 2'
loop_
_atom_site_label
_atom_site_type_symbol
_atom_site_fract_x
_atom_site_fract_y
_atom_site_fract_z
Te1 Te 0.0000 0.0000 0.0000
Te2 Te 0.0000 0.3759 0.2500
Pb1 Pb 0.0000 0.2797 0.7500
Pb2 Pb 0.3333 0.6667 0.0000
# - ΔE_f (raw) (meV per atom) = -192
# - energy above the most stable polymorph in this dataset (eV per atom) = 0.000

Number 1: DOS(E_F) 2.62 states/eV/f.u., M_tot 0.000 μB/cell. Number 2: DOS(E_F) 5.66 states/eV/f.u., M_tot 0.000 μB/cell. Number 3: DOS(E_F) 1.44 states/eV/f.u., M_tot 0.000 μB/cell.